Record 1
Here is a relaxed structure of TlBi from the Alexandria database. Energies are from GGA-PBE.

Results
The density of states at the Fermi level is 14.4 states/eV per cell. The formation energy from the elements comes out at 0.223 eV/atom.

Cell lengths 7.1472, 10.7695, 17.0310 Å; angles 90.00, 90.00, 90.00 degrees
With the nearest neighbours (Å) after each atom.
Space group Fddd (No. 70, origin choice 2)
One atom of each set of equivalent atoms:
Tl 0.1002 0.3750 0.3750  4 Bi 3.17-3.25, 1 Tl 3.22
Bi 0.1250 0.1250 0.4732  4 Tl 3.17-3.25, 2 Bi 3.36

---

Record 2
Here is a relaxed structure of Tl7Bi3 from the Alexandria database. Energies are from GGA-PBE.

Results
The density of states at the Fermi level is 12.1 states/eV per cell. The formation energy from the elements comes out at 0.040 eV/atom.

Cell lengths 11.3072, 11.3072, 6.1384 Å; angles 90.00, 90.00, 120.00 degrees
With the nearest neighbours (Å) after each atom.
Space group P6_3mc (No. 186)
One atom of each set of equivalent atoms:
Tl 0.0739 0.5370 0.0000  4 Bi 3.33-3.67, 5 Tl 3.39-3.71
Tl 0.1253 0.2506 0.8325  4 Bi 3.35-3.36, 2 Tl 3.71
Tl 0.3333 0.6667 0.6254  3 Bi 3.25, 3 Tl 3.43
Bi 0.1948 0.3896 0.3335  7 Tl 3.25-3.36